Computed, not measured: a relaxed CePrHoTm2 crystal at the PBE-GGA level of DFT.

Summary:
Formation enthalpy at 0 K = 0.29 eV/atom
V = 325 Å³ per cell

abc: 5.7799 7.6755 7.3269
angles: 90.00 90.00 90.00
Space group Pmma (No. 51)
Symmetry-distinct sites (fractional):
Ce 0.0000 0.0000 0.0000
Pr 0.2500 0.5000 0.1630
Ho 0.2500 0.0000 0.3806
Tm 0.2500 0.2888 0.6727